{"formula": "TcNiSnMo", "functional": "PBE", "state": "relaxed", "polymorph_energy_mev_per_atom": 0.0, "crystal_system": "cubic", "space_group": "F-43m, No. 216", "lattice": [[2.7770, -1.6953, 3.0298], [-0.5402, -4.1786, 1.4189], [2.9203, -3.1407, -1.1721]], "species": ["Sn", "Mo", "Tc", "Ni"], "frac_coords": [[0.0000, 0.0000, 0.0000], [0.5000, 0.5000, 0.5000], [0.2500, 0.2500, 0.2500], [0.7500, 0.7500, 0.7500]]}